The following is a DFT calculation (PBE-GGA) of crystalline Li16Ca2Mg at its relaxed geometry.

Results
Uncorrected energy (hartree per atom): -0.0697
DOS(E_F) (states/eV/f.u.): 11.0
Crystal system: trigonal

Unit cell a=7.599 b=7.599 c=7.599 alpha=83.36 beta=83.36 gamma=83.36
Element x y z (fractional)
Li: 0.000 0.288 0.712
Li: 0.000 0.712 0.288
Li: 0.106 0.106 0.106
Li: 0.141 0.650 0.650
Li: 0.288 0.000 0.712
Li: 0.288 0.712 0.000
Li: 0.356 0.356 0.853
Li: 0.356 0.853 0.356
Li: 0.500 0.999 0.999
Li: 0.650 0.141 0.650
Li: 0.650 0.650 0.141
Li: 0.712 0.000 0.288
Li: 0.712 0.288 0.000
Li: 0.853 0.356 0.356
Li: 0.999 0.500 0.999
Li: 0.999 0.999 0.500
Ca: 0.347 0.347 0.347
Ca: 0.660 0.660 0.660
Mg: 0.905 0.905 0.905